[1]
ZnPOs2 | GGA-PBE | optimized geometry

abc: 2.9142 3.7009 5.4031
angles: 90.00 105.22 90.00
Closest atoms and distances in Å follow each position.
Positions (direct):
Zn: 0.0000 0.0000 0.0000  2 P 2.70, 8 Os 2.73-2.77, 2 Zn 2.91
P: 0.0000 0.0000 0.5000  4 Os 2.31
Os: 0.3519 0.5000 0.7279  2 P 2.31
Os: 0.6481 0.5000 0.2721  2 P 2.31

energy above the most stable polymorph in this dataset: 29 kJ/mol of formula units
V: 14.06 A^3/atom

[2]
ZnPOs2 | GGA-PBE | optimized geometry

abc: 3.6917 3.6917 8.0729
angles: 90.00 90.00 90.00
Closest atoms and distances in Å follow each position.
Positions (direct):
Zn: 0.0000 0.0000 0.0000  8 Os 2.61-2.74, 4 P 2.74
Zn: 0.5000 0.5000 0.5000  8 Os 2.61-2.74, 4 P 2.74
P: 0.0000 0.5000 0.2500  8 Os 2.61-2.74, 4 Zn 2.74
P: 0.5000 0.0000 0.7500  8 Os 2.61-2.74, 4 Zn 2.74
Os: 0.0000 0.0000 0.5000  4 Zn 2.61, 4 Os 2.74, 4 P 2.74
Os: 0.0000 0.5000 0.7500  4 P 2.61, 4 Os 2.74, 4 Zn 2.74
Os: 0.5000 0.0000 0.2500  4 P 2.61, 4 Os 2.74, 4 Zn 2.74
Os: 0.5000 0.5000 0.0000  4 Zn 2.61, 4 Os 2.74, 4 P 2.74

energy above the most stable polymorph in this dataset: 160 kJ/mol of formula units
V: 13.75 A^3/atom

[3]
ZnPOs2 | GGA-PBE | optimized geometry

abc: 2.8171 2.8171 7.7054
angles: 90.00 90.00 90.00
Closest atoms and distances in Å follow each position.
Positions (direct):
Zn: 0.0000 0.0000 0.0000  4 Os 2.67, 4 Zn 2.82
P: 0.5000 0.5000 0.6623  4 Os 2.48
Os: 0.0000 0.0000 0.4715  4 P 2.48, 4 Os 2.72
Os: 0.5000 0.5000 0.2307  4 Zn 2.67, 8 Os 2.72-2.82

energy above the most stable polymorph in this dataset: 36 kJ/mol of formula units
V: 15.29 A^3/atom

[4]
ZnPOs2 | GGA-PBE | optimized geometry

abc: 4.2122 4.2122 2.9886
angles: 90.00 90.00 90.00
Closest atoms and distances in Å follow each position.
Positions (direct):
Zn: 0.0000 0.0000 0.0000  8 Os 2.58
P: 0.5000 0.5000 0.0000  8 Os 2.58
Os: 0.0000 0.5000 0.5000  4 Zn 2.58, 4 P 2.58
Os: 0.5000 0.0000 0.5000  4 Zn 2.58, 4 P 2.58

energy above the most stable polymorph in this dataset: 68 kJ/mol of formula units
V: 13.26 A^3/atom

[5]
Zn2POs | GGA-PBE | optimized geometry

abc: 3.1935 3.9426 4.4088
angles: 90.00 90.00 90.00
Closest atoms and distances in Å follow each position.
Positions (direct):
Zn: 0.0000 0.0000 0.0000  4 Zn 2.54, 4 Os 2.72
Zn: 0.5000 0.5000 0.0000  4 Zn 2.54, 4 P 2.72
P: 0.0000 0.5000 0.5000  4 Os 2.54, 4 Zn 2.72
Os: 0.5000 0.0000 0.5000  4 P 2.54, 4 Zn 2.72

E_tot: -4.481 eV/atom
V: 13.88 A^3/atom

[6]
ZnPOs2 | GGA-PBE | optimized geometry

abc: 2.9242 2.9242 6.2544
angles: 90.00 90.00 90.00
Closest atoms and distances in Å follow each position.
Positions (direct):
Zn: 0.0000 0.0000 0.0000  8 Os 2.70, 4 Zn 2.92
P: 0.0000 0.0000 0.5000  8 Os 2.50
Os: 0.5000 0.5000 0.2766  4 P 2.50, 4 Zn 2.70, 1 Os 2.79
Os: 0.5000 0.5000 0.7234  4 P 2.50, 4 Zn 2.70, 1 Os 2.79

energy above the most stable polymorph in this dataset: 16 kJ/mol of formula units
V: 13.37 A^3/atom

Number 1: spin magnetization 0.00 μB/atom. Number 2: spin magnetization 0.00 μB/atom. Number 3: spin magnetization 0.00 μB/atom. Number 4: spin magnetization 0.00 μB/atom. Number 5: spin magnetization 0.00 μB/atom. Number 6: spin magnetization 0.00 μB/atom.